1.
# PBE AcNd4Dy, relaxed
data_AcNd4Dy
_cell_length_a 7.176
_cell_length_b 20.225
_cell_length_c 6.054
_cell_angle_alpha 90.00
_cell_angle_beta 90.34
_cell_angle_gamma 90.00
_space_group_name_H-M_alt 'C 1 2/c 1'
_space_group_IT_number 15
loop_
_space_group_symop_operation_xyz
'x,y,z'
'-x,-y,-z'
'-x,y,-z+1/2'
'x,-y,z+1/2'
'x+1/2,y+1/2,z'
'-x+1/2,-y+1/2,-z'
'-x+1/2,y+1/2,-z+1/2'
'x+1/2,-y+1/2,z+1/2'
loop_
_atom_site_label
_atom_site_type_symbol
_atom_site_fract_x
_atom_site_fract_y
_atom_site_fract_z
Ac1 Ac 0.000 0.053 0.250
Nd1 Nd 0.243 0.386 0.250
Nd2 Nd 0.245 0.291 0.750
Dy1 Dy 0.000 0.450 0.750
# - ΔE to the lowest computed polymorph: 0.000 eV/atom
# - DOS at the Fermi energy: 9.9 states/eV/f.u.
# - Energy of formation from the pure elements: 170 meV per atom

2.
# PBE Ac6Nd5Dy2, relaxed
data_Ac6Nd5Dy2
_cell_length_a 11.406
_cell_length_b 24.085
_cell_length_c 3.766
_cell_angle_alpha 90.00
_cell_angle_beta 90.00
_cell_angle_gamma 90.00
_space_group_name_H-M_alt 'P b a m'
_space_group_IT_number 55
loop_
_space_group_symop_operation_xyz
'x,y,z'
'-x,-y,-z'
'-x,-y,z'
'x,y,-z'
'x+1/2,-y+1/2,-z'
'-x+1/2,y+1/2,z'
'-x+1/2,y+1/2,-z'
'x+1/2,-y+1/2,z'
loop_
_atom_site_label
_atom_site_type_symbol
_atom_site_fract_x
_atom_site_fract_y
_atom_site_fract_z
Ac1 Ac 0.019 0.113 0.000
Ac2 Ac 0.147 0.385 0.000
Ac3 Ac 0.166 0.634 0.500
Nd1 Nd 0.000 0.500 0.500
Nd2 Nd 0.085 0.249 0.500
Nd3 Nd 0.165 0.997 0.500
Dy1 Dy 0.165 0.767 0.000
# - DOS at the Fermi energy: 20.2 states/eV/f.u.
# - Energy of formation from the pure elements: 145 meV per atom

3.
# PBE AcNd4Dy, relaxed
data_AcNd4Dy
_cell_length_a 11.923
_cell_length_b 7.190
_cell_length_c 11.834
_cell_angle_alpha 90.00
_cell_angle_beta 90.00
_cell_angle_gamma 90.00
_space_group_name_H-M_alt 'C m c m'
_space_group_IT_number 63
_space_group_name_Hall '-C 2c 2'
loop_
_atom_site_label
_atom_site_type_symbol
_atom_site_fract_x
_atom_site_fract_y
_atom_site_fract_z
Ac1 Ac 0.000 0.001 0.250
Nd1 Nd 0.000 0.260 0.000
Nd2 Nd 0.250 0.248 0.750
Dy1 Dy 0.000 0.499 0.750
# - ΔE to the lowest computed polymorph: 0.343 eV/atom
# - DOS at the Fermi energy: 11.4 states/eV/f.u.
# - Energy of formation from the pure elements: 514 meV per atom

4.
# PBE Ac2Nd7Dy, relaxed
data_Ac2Nd7Dy
_cell_length_a 6.861
_cell_length_b 30.105
_cell_length_c 3.611
_cell_angle_alpha 90.00
_cell_angle_beta 90.00
_cell_angle_gamma 90.00
_space_group_name_H-M_alt 'C m m m'
_space_group_IT_number 65
_space_group_name_Hall '-C 2 2'
loop_
_atom_site_label
_atom_site_type_symbol
_atom_site_fract_x
_atom_site_fract_y
_atom_site_fract_z
Ac1 Ac 0.000 0.205 0.000
Nd1 Nd 0.000 0.000 0.000
Nd2 Nd 0.000 0.317 0.500
Nd3 Nd 0.242 0.404 0.000
Dy1 Dy 0.000 0.500 0.500
# - ΔE to the lowest computed polymorph: 0.000 eV/atom
# - DOS at the Fermi energy: 16.2 states/eV/f.u.
# - Energy of formation from the pure elements: 150 meV per atom